Model P:
TaTeCI2: relaxed, PBE.

Summary:
SG: P4/mmm

Lattice parameters (Å, degrees): 5.5712 5.5712 5.3602 90.00 90.00 90.00
Element x y z (fractional)
Ta (0.0000, 0.0000, 0.0000)
Te (0.0000, 0.0000, 0.5000)
C (0.5000, 0.5000, 0.5000)
I (0.0000, 0.5000, 0.0000)
I (0.5000, 0.0000, 0.0000)

---

Model Q:
TaTeCI2: relaxed, PBE.

Summary:
SG: P4/mmm

Lattice parameters (Å, degrees): 4.8443 4.8443 4.7989 90.00 90.00 90.00
Element x y z (fractional)
Ta (0.0000, 0.0000, 0.0000)
Te (0.5000, 0.5000, 0.0000)
C (0.5000, 0.5000, 0.5000)
I (0.0000, 0.5000, 0.5000)
I (0.5000, 0.0000, 0.5000)

---

We find model P to be the most stable, with the next structure 9.3 kJ/mol of atoms higher.

---

Model P:
TaTe2CI: relaxed, PBE.

Summary:
SG: P4/mmm

Lattice parameters (Å, degrees): 4.7139 4.7139 4.8373 90.00 90.00 90.00
Element x y z (fractional)
Ta (0.0000, 0.0000, 0.0000)
Te (0.0000, 0.5000, 0.5000)
Te (0.5000, 0.0000, 0.5000)
C (0.5000, 0.5000, 0.5000)
I (0.5000, 0.5000, 0.0000)

---

Model Q:
TaTe2CI: relaxed, PBE.

Summary:
SG: P4/mmm

Lattice parameters (Å, degrees): 5.3687 5.3687 5.6272 90.00 90.00 90.00
Element x y z (fractional)
Ta (0.0000, 0.0000, 0.0000)
Te (0.0000, 0.5000, 0.0000)
Te (0.5000, 0.0000, 0.0000)
C (0.5000, 0.5000, 0.5000)
I (0.0000, 0.0000, 0.5000)

---

We find model P to be the most stable, with the next structure 8.0 kJ/mol of atoms higher.

---

Model P:
Tc3CI: relaxed, PBE.

Summary:
SG: Pm-3m

Lattice parameters (Å, degrees): 4.8311 4.8311 4.8311 90.00 90.00 90.00
Element x y z (fractional)
Tc (0.0000, 0.0000, 0.5000)
Tc (0.0000, 0.5000, 0.0000)
Tc (0.5000, 0.0000, 0.0000)
C (0.5000, 0.5000, 0.5000)
I (0.0000, 0.0000, 0.0000)

---

Model Q:
Tc3CI: relaxed, PBE.

Summary:
SG: Pm-3m

Lattice parameters (Å, degrees): 4.1962 4.1962 4.1962 90.00 90.00 90.00
Element x y z (fractional)
Tc (0.0000, 0.0000, 0.5000)
Tc (0.0000, 0.5000, 0.0000)
Tc (0.5000, 0.0000, 0.0000)
C (0.0000, 0.0000, 0.0000)
I (0.5000, 0.5000, 0.5000)

---

We find model Q to be the most stable, with the next structure 250.5 kJ/mol of atoms higher.

---

Model P:
TcCI3: relaxed, PBE.

Summary:
SG: Pm-3m

Lattice parameters (Å, degrees): 5.5074 5.5074 5.5074 90.00 90.00 90.00
Element x y z (fractional)
Tc (0.0000, 0.0000, 0.0000)
C (0.5000, 0.5000, 0.5000)
I (0.0000, 0.0000, 0.5000)
I (0.0000, 0.5000, 0.0000)
I (0.5000, 0.0000, 0.0000)

---

Model Q:
TcCI3: relaxed, PBE.

Summary:
SG: Pm-3m

Lattice parameters (Å, degrees): 4.8492 4.8492 4.8492 90.00 90.00 90.00
Element x y z (fractional)
Tc (0.0000, 0.0000, 0.0000)
C (0.5000, 0.5000, 0.5000)
I (0.0000, 0.5000, 0.5000)
I (0.5000, 0.0000, 0.5000)
I (0.5000, 0.5000, 0.0000)

---

We find model P to be the most stable, with the next structure 24.7 kJ/mol of atoms higher.

---

Model P:
TcC3I: relaxed, PBE.

Summary:
SG: Pm-3m

Lattice parameters (Å, degrees): 4.0409 4.0409 4.0409 90.00 90.00 90.00
Element x y z (fractional)
Tc (0.0000, 0.0000, 0.0000)
C (0.0000, 0.5000, 0.5000)
C (0.5000, 0.0000, 0.5000)
C (0.5000, 0.5000, 0.0000)
I (0.5000, 0.5000, 0.5000)

---

Model Q:
TcC3I: relaxed, PBE.

Summary:
SG: Pm-3m

Lattice parameters (Å, degrees): 4.1649 4.1649 4.1649 90.00 90.00 90.00
Element x y z (fractional)
Tc (0.0000, 0.0000, 0.0000)
C (0.0000, 0.0000, 0.5000)
C (0.0000, 0.5000, 0.0000)
C (0.5000, 0.0000, 0.0000)
I (0.5000, 0.5000, 0.5000)

---

We find model Q to be the most stable, with the next structure 145.1 kJ/mol of atoms higher.

---

Model P:
TcTeCI2: relaxed, PBE.

Summary:
SG: P4/mmm

Lattice parameters (Å, degrees): 4.7906 4.7906 4.6810 90.00 90.00 90.00
Element x y z (fractional)
Tc (0.0000, 0.0000, 0.0000)
Te (0.5000, 0.5000, 0.0000)
C (0.5000, 0.5000, 0.5000)
I (0.0000, 0.5000, 0.5000)
I (0.5000, 0.0000, 0.5000)

---

Model Q:
TcTeCI2: relaxed, PBE.

Summary:
SG: P4/mmm

Lattice parameters (Å, degrees): 5.5755 5.5755 5.0850 90.00 90.00 90.00
Element x y z (fractional)
Tc (0.0000, 0.0000, 0.0000)
Te (0.0000, 0.0000, 0.5000)
C (0.5000, 0.5000, 0.5000)
I (0.0000, 0.5000, 0.0000)
I (0.5000, 0.0000, 0.0000)

---

We find model Q to be the most stable, with the next structure 4.9 kJ/mol of atoms higher.

---

Model P:
TeCI: relaxed, PBE.

Summary:
SG: P1

Lattice parameters (Å, degrees): 3.8686 6.7089 7.7444 84.61 75.86 90.00
Element x y z (fractional)
Te (0.0000, 0.0000, 0.0000)
Te (0.3063, 0.8396, 0.3958)
C (0.5053, 0.1834, 0.9893)
C (0.8675, 0.9098, 0.2708)
I (0.4142, 0.4149, 0.1757)
I (0.6418, 0.3102, 0.7094)

---

Model Q:
TeCI: relaxed, PBE.

Summary:
SG: P1

Lattice parameters (Å, degrees): 4.2698 5.3527 10.8062 97.31 91.86 90.34
Element x y z (fractional)
Te (0.0000, 0.0000, 0.0000)
Te (0.4861, 0.6934, 0.8646)
C (0.0050, 0.7512, 0.2600)
C (0.0073, 0.8358, 0.1595)
I (0.9721, 0.3495, 0.7158)
I (0.9966, 0.6113, 0.4222)

---

Model R:
TeCI: relaxed, PBE.

Summary:
SG: P1

Lattice parameters (Å, degrees): 4.9980 5.9755 9.4152 92.14 97.83 94.32
Element x y z (fractional)
Te (0.0000, 0.0000, 0.0000)
Te (0.2790, 0.9815, 0.7696)
C (0.3147, 0.9939, 0.1615)
C (0.4775, 0.9937, 0.2719)
I (0.2065, 0.5100, 0.6913)
I (0.7402, 0.9977, 0.4519)

---

We find model Q to be the most stable, with the next structure 5.1 kJ/mol of atoms higher.

---

Model P:
TeCI: relaxed, PBE.

Summary:
SG: Pm

Lattice parameters (Å, degrees): 4.7107 3.6741 6.3766 90.00 110.44 90.00
Element x y z (fractional)
Te (0.0000, 0.0000, 0.0000)
C (0.0910, 0.5000, 0.1822)
I (0.2746, 0.5000, 0.5305)

---

Model Q:
TeCI: relaxed, PBE.

Summary:
SG: P1

Lattice parameters (Å, degrees): 5.8093 5.8111 9.6627 77.19 77.01 68.91
Element x y z (fractional)
Te (0.0000, 0.0000, 0.0000)
Te (0.1909, 0.1877, 0.4373)
C (0.0902, 0.0543, 0.7850)
C (0.1354, 0.0985, 0.6523)
I (0.1403, 0.4496, 0.0260)
I (0.7416, 0.0475, 0.4112)

---

Model R:
TeCI: relaxed, PBE.

Summary:
SG: P1

Lattice parameters (Å, degrees): 5.6222 6.3550 7.4766 81.46 86.37 86.22
Element x y z (fractional)
Te (0.0000, 0.0000, 0.0000)
Te (0.2599, 0.9150, 0.3597)
C (0.5551, 0.8416, 0.2200)
C (0.7460, 0.7890, 0.1309)
I (0.7296, 0.0533, 0.6689)
I (0.8332, 0.4341, 0.0897)

---

We find model Q to be the most stable, with the next structure 3.9 kJ/mol of atoms higher.

---

Model P:
TeCI: relaxed, PBE.

Summary:
SG: P1

Lattice parameters (Å, degrees): 5.9513 6.7165 9.3812 92.79 107.15 115.36
Element x y z (fractional)
Te (0.0000, 0.0000, 0.0000)
Te (0.3086, 0.3099, 0.8192)
C (0.5657, 0.1842, 0.8946)
C (0.7268, 0.1109, 0.9375)
I (0.2969, 0.2801, 0.2918)
I (0.6537, 0.6097, 0.6671)

---

Model Q:
TeCI: relaxed, PBE.

Summary:
SG: P1

Lattice parameters (Å, degrees): 5.3781 5.6474 7.4822 94.38 102.12 109.07
Element x y z (fractional)
Te (0.0000, 0.0000, 0.0000)
Te (0.1569, 0.7796, 0.7341)
C (0.2902, 0.0264, 0.2489)
C (0.3954, 0.2428, 0.3641)
I (0.3539, 0.6373, 0.3091)
I (0.6116, 0.2586, 0.6487)

---

Model R:
TeCI: relaxed, PBE.

Summary:
SG: C2/m

Lattice parameters (Å, degrees): 9.7118 9.7118 4.9658 99.60 99.60 34.93
Element x y z (fractional)
Te (0.1438, 0.1438, 0.0626)
Te (0.8562, 0.8562, 0.9374)
C (0.0339, 0.0339, 0.0147)
C (0.9661, 0.9661, 0.9853)
I (0.3527, 0.3527, 0.1046)
I (0.6473, 0.6473, 0.8954)

---

We find model P to be the most stable, with the next structure 1.9 kJ/mol of atoms higher.

---

Model P:
TeCI: relaxed, PBE.

Summary:
SG: P1

Lattice parameters (Å, degrees): 3.9080 6.8012 8.5391 74.46 89.63 89.74
Element x y z (fractional)
Te (0.0000, 0.0000, 0.0000)
Te (0.4988, 0.6219, 0.2860)
C (0.5024, 0.9453, 0.8767)
C (0.9992, 0.7406, 0.1953)
I (0.5032, 0.2061, 0.6561)
I (0.5051, 0.6607, 0.8116)

---

Model Q:
TeCI: relaxed, PBE.

Summary:
SG: P1

Lattice parameters (Å, degrees): 5.7184 5.7838 9.9897 92.10 104.55 118.50
Element x y z (fractional)
Te (0.0000, 0.0000, 0.0000)
Te (0.4087, 0.1860, 0.5729)
C (0.6352, 0.1179, 0.7369)
C (0.7747, 0.0753, 0.8395)
I (0.9098, 0.6168, 0.5055)
I (0.9620, 0.2738, 0.2220)

---

Model R:
TeCI: relaxed, PBE.

Summary:
SG: P1

Lattice parameters (Å, degrees): 5.0894 5.9499 9.7182 73.62 77.63 67.35
Element x y z (fractional)
Te (0.0000, 0.0000, 0.0000)
Te (0.3895, 0.2309, 0.7535)
C (0.1357, 0.7017, 0.9098)
C (0.2271, 0.5232, 0.8510)
I (0.3203, 0.7692, 0.2409)
I (0.6993, 0.4967, 0.5155)

---

Model S:
TeCI: relaxed, PBE.

Summary:
SG: P1

Lattice parameters (Å, degrees): 3.3483 6.9039 9.8670 99.47 90.61 103.99
Element x y z (fractional)
Te (0.0000, 0.0000, 0.0000)
Te (0.2506, 0.5079, 0.8660)
C (0.5448, 0.0959, 0.8835)
C (0.8383, 0.6792, 0.9385)
I (0.4066, 0.7921, 0.3127)
I (0.4822, 0.9697, 0.6663)

---

We find model R to be the most stable, with the next structure 3.0 kJ/mol of atoms higher.

---

Model P:
TeCI: relaxed, PBE.

Summary:
SG: P1

Lattice parameters (Å, degrees): 5.9896 7.0295 7.3223 83.56 81.40 67.81
Element x y z (fractional)
Te (0.0000, 0.0000, 0.0000)
Te (0.3861, 0.6237, 0.2163)
C (0.6137, 0.7742, 0.1269)
C (0.7563, 0.8633, 0.0752)
I (0.1824, 0.8241, 0.6497)
I (0.7542, 0.2816, 0.3898)

---

Model Q:
TeCI: relaxed, PBE.

Summary:
SG: P1

Lattice parameters (Å, degrees): 3.4194 4.2120 6.9183 75.00 78.06 67.42
Element x y z (fractional)
Te (0.0000, 0.0000, 0.0000)
C (0.6730, 0.7352, 0.8877)
I (0.7899, 0.7934, 0.5585)

---

We find model P to be the most stable, with the next structure 55.8 kJ/mol of atoms higher.